A geometry-optimized SbTeN structure, computed with PBE-GGA.

abc: 8.381 8.298 6.544
angles: 90.00 129.06 90.00
Fractional coordinates of all 12 atoms:
Sb 0.153 0.000 0.308
Sb 0.347 0.500 0.692
Sb 0.653 0.500 0.308
Sb 0.847 0.000 0.692
Te 0.000 0.249 0.500
Te 0.000 0.751 0.500
Te 0.500 0.251 0.500
Te 0.500 0.749 0.500
N 0.000 0.433 0.000
N 0.000 0.567 0.000
N 0.500 0.067 0.000
N 0.500 0.933 0.000

Summary:
Raw total energy ... -5.106 eV/atom
E_form (uncorrected) ... 91 meV per atom
V ... 353.36 Å³/cell
Energy above the most stable polymorph in this dataset ... 0.0000 eV/atom